[1]
## Sr2AlCu3O7 (PBE)

Data for a relaxed Sr2AlCu3O7 crystal.

extended XYZ file:
```
26
Lattice="11.769 -2.646 0.000 11.769 2.646 0.000 -1.214 0.000 5.207" Properties=species:S:1:pos:R:3 pbc="T T T"
Sr 6.771 1.341 1.586
Sr 11.162 1.342 2.604
Sr 6.164 -1.341 4.190
Sr 11.769 -1.342 0.000
Al 14.557 1.328 3.359
Al 15.164 -1.328 0.755
Cu 8.337 1.052 4.796
Cu 13.811 1.321 0.445
Cu 16.510 1.322 1.084
Cu 8.944 -1.052 2.192
Cu 13.204 -1.321 3.049
Cu 15.903 -1.322 3.687
O 1.159 0.385 4.756
O 6.562 1.344 4.240
O 4.386 0.381 1.980
O 1.766 -0.385 2.152
O 10.174 1.344 5.079
O 9.131 0.743 1.385
O 3.779 -0.381 4.584
O 13.127 0.383 4.009
O 8.524 -0.743 3.989
O 7.170 -1.344 1.636
O 16.004 0.387 2.738
O 13.734 -0.383 1.406
O 10.781 -1.344 2.476
O 16.612 -0.387 0.134
```

Values from the calculation:
- final energy (eV/atom) = -5.827
- M_tot (μB per formula unit) = 0.000
- formation energy without anion corrections (eV per atom) = -1.665

---

[2]
## Sr2TiAlCu2O7 (PBE)

Data for a relaxed Sr2TiAlCu2O7 crystal.

extended XYZ file:
```
26
Lattice="-11.166 3.069 2.721 11.166 -3.069 2.721 11.166 3.069 -2.721" Properties=species:S:1:pos:R:3 pbc="T T T"
Sr 3.154 0.347 0.000
Sr 8.012 0.347 0.000
Sr 3.154 2.722 2.721
Sr 8.012 2.722 2.721
Ti 5.583 -0.507 2.559
Ti 5.583 3.576 -0.161
Al 0.000 0.000 0.338
Al 11.166 0.000 0.338
Cu 1.230 -0.262 2.936
Cu 9.936 -0.262 2.936
Cu 1.230 3.330 0.216
Cu 9.936 3.330 0.216
O 12.379 0.885 -0.707
O 9.953 -2.184 2.014
O 9.897 2.250 -1.340
O 12.435 -0.818 1.381
O 16.749 0.842 0.679
O 1.269 0.818 1.381
O 9.897 0.818 1.381
O 4.103 2.688 0.251
O 7.063 2.688 0.251
O 4.103 0.380 2.972
O 7.063 0.380 2.972
O -1.213 2.184 2.014
O 12.379 2.184 2.014
O -5.583 2.227 3.399
```

Values from the calculation:
- final energy (eV/atom) = -6.660
- M_tot (μB per formula unit) = 0.643
- formation energy without anion corrections (eV per atom) = -2.206

---

[3]
## AlCuTeO6 (PBE)

Data for a relaxed AlCuTeO6 crystal.

extended XYZ file:
```
18
Lattice="4.558 0.000 0.000 0.000 4.558 0.000 0.000 0.000 8.990" Properties=species:S:1:pos:R:3 pbc="T T T"
Al 0.000 0.000 0.000
Al 2.279 2.279 4.495
Cu 0.000 0.000 2.964
Cu 2.279 2.279 7.459
Te 0.000 0.000 5.965
Te 2.279 2.279 1.470
O 0.857 0.857 7.490
O 0.890 0.890 1.413
O 0.909 0.909 4.509
O 1.370 3.188 0.014
O 1.390 3.169 5.908
O 1.422 3.136 2.995
O 3.136 1.422 2.995
O 3.169 1.390 5.908
O 3.188 1.370 0.014
O 3.649 3.649 4.509
O 3.669 3.669 1.413
O 3.701 3.701 7.490
```

Values from the calculation:
- final energy (eV/atom) = -5.859
- M_tot (μB per formula unit) = 1.652
- formation energy without anion corrections (eV per atom) = -1.333

---

[4]
## UAlCuO6 (PBE)

Data for a relaxed UAlCuO6 crystal.

extended XYZ file:
```
18
Lattice="4.768 0.000 0.000 0.000 4.768 0.000 0.000 0.000 9.066" Properties=species:S:1:pos:R:3 pbc="T T T"
U 0.000 0.000 0.000
U 2.384 2.384 4.533
Al 0.000 0.000 6.009
Al 2.384 2.384 1.476
Cu 0.000 0.000 3.045
Cu 2.384 2.384 7.578
O 0.866 0.866 4.586
O 0.895 0.895 7.453
O 0.967 0.967 1.536
O 1.418 3.351 6.069
O 1.490 3.279 2.920
O 1.518 3.250 0.053
O 3.250 1.518 0.053
O 3.279 1.490 2.920
O 3.351 1.418 6.069
O 3.802 3.802 1.536
O 3.874 3.874 7.453
O 3.902 3.902 4.586
```

Values from the calculation:
- final energy (eV/atom) = -7.641
- M_tot (μB per formula unit) = 1.290
- formation energy without anion corrections (eV per atom) = -2.211

---

> Look up the final energy of the third one.

-5.859 eV/atom

---

> Which formula does entry 1 have?

Sr2AlCu3O7

---

> formation energy without anion corrections of number 1 (Sr2AlCu3O7)?

-1.665 eV per atom

---

> Look up the formation energy without anion corrections of the third one.

-1.333 eV per atom